{
  "formula": "Ba2PmW2N6",
  "functional": "PBE",
  "state": "optimized geometry",
  "lattice_angstrom": [[3.168, 1.829, 6.369], [-3.168, 1.829, 6.369], [0.000, -3.658, 6.369]],
  "species": ["Ba", "Ba", "Pm", "W", "W", "N", "N", "N", "N", "N", "N"],
  "fractional_positions": [[0.208, 0.208, 0.208], [0.792, 0.792, 0.792], [0.000, 0.000, 0.000], [0.430, 0.430, 0.430], [0.570, 0.570, 0.570], [0.249, 0.750, 0.750], [0.250, 0.250, 0.751], [0.250, 0.751, 0.250], [0.750, 0.249, 0.750], [0.750, 0.750, 0.249], [0.751, 0.250, 0.250]],
  "spacegroup": "No. 166",
  "rho_g_cm3": 6.534,
  "n_ef_per_ev_cell": 6.21,
  "e_tot_ry_per_atom": -0.6136,
  "raw_formation_energy_ev_per_atom": -0.67
}


{
  "formula": "Ba2PmWN4",
  "functional": "PBE",
  "state": "optimized geometry",
  "lattice_angstrom": [[7.786, 0.000, 0.000], [0.000, 7.349, 0.000], [0.000, 0.000, 5.991]],
  "species": ["Ba", "Ba", "Ba", "Ba", "Pm", "Pm", "W", "W", "N", "N", "N", "N", "N", "N", "N", "N"],
  "fractional_positions": [[0.249, 0.161, 0.000], [0.251, 0.839, 0.500], [0.749, 0.839, 0.500], [0.751, 0.161, 0.000], [0.000, 0.650, 0.014], [0.500, 0.350, 0.514], [0.000, 0.350, 0.529], [0.500, 0.650, 0.029], [0.000, 0.375, 0.842], [0.000, 0.586, 0.397], [0.207, 0.222, 0.464], [0.293, 0.778, 0.964], [0.500, 0.414, 0.897], [0.500, 0.625, 0.342], [0.707, 0.778, 0.964], [0.793, 0.222, 0.464]],
  "spacegroup": "No. 31",
  "rho_g_cm3": 6.389,
  "n_ef_per_ev_cell": 4.22,
  "e_tot_ry_per_atom": -0.5694,
  "raw_formation_energy_ev_per_atom": -0.89
}